1.
Compound: Li6BrCl5
Source: Alexandria via LeMat-Bulk
Functional: PBE
Structure: optimized geometry

a = 6.3923 Å, b = 6.3854 Å, c = 6.3980 Å
α = 60.07°, β = 80.39°, γ = 70.46°
Last column: nearest neighbours and their distance in Å.
Sites, in units of the cell vectors:
Li  0.7466  0.0844  0.3451  5 Cl 2.53-2.63, 1 Br 2.68
Li  0.2534  0.9156  0.6549  5 Cl 2.53-2.63, 1 Br 2.68
Li  0.2534  0.5705  0.3451  5 Cl 2.53-2.63, 1 Br 2.68
Li  0.2552  0.2587  0.0000  5 Cl 2.54-2.63, 1 Br 2.68
Li  0.7448  0.7413  0.0000  5 Cl 2.54-2.63, 1 Br 2.68
Li  0.7466  0.4295  0.6549  5 Cl 2.53-2.63, 1 Br 2.68
Cl  0.5000  0.1680  0.6639  6 Li 2.53-2.63
Cl  0.0000  0.6662  0.6675  6 Li 2.59-2.60
Cl  0.0000  0.3338  0.3325  6 Li 2.59-2.60
Cl  0.5000  0.8320  0.3361  6 Li 2.53-2.63
Cl  0.5000  0.5000  0.0000  6 Li 2.54-2.63
Br  0.0000  0.0000  0.0000  6 Li 2.68

***

2.
Compound: LiBrCl4
Source: Alexandria via LeMat-Bulk
Functional: PBE
Structure: optimized geometry

a = 5.9197 Å, b = 5.9197 Å, c = 5.9197 Å
α = 60.00°, β = 60.00°, γ = 60.00°
Last column: nearest neighbours and their distance in Å.
Sites, in units of the cell vectors:
Cl  0.3750  0.3750  0.8750  6 Cl 2.96
Cl  0.3750  0.8750  0.3750  6 Cl 2.96
Cl  0.3750  0.3750  0.3750  6 Cl 2.96
Cl  0.8750  0.3750  0.3750  6 Cl 2.96
Br  0.0000  0.0000  0.0000  12 Cl 3.47, 4 Li 3.63
Li  0.7500  0.7500  0.7500  12 Cl 3.47, 4 Br 3.63

* energy relative to the lowest polymorph listed for this composition: 0.732 eV per atom

***

3.
Compound: Li4Br3Cl
Source: Alexandria via LeMat-Bulk
Functional: PBE
Structure: optimized geometry

a = 6.6206 Å, b = 7.1773 Å, c = 8.2689 Å
α = 90.00°, β = 90.00°, γ = 90.00°
Last column: nearest neighbours and their distance in Å.
Sites, in units of the cell vectors:
Li  0.6187  0.1486  0.5000  1 Cl 2.40, 3 Br 2.56
Li  0.1174  0.3274  0.7594  1 Cl 2.41, 3 Br 2.56-2.57
Li  0.6174  0.6726  0.7406  1 Cl 2.41, 3 Br 2.56-2.57
Li  0.1174  0.3274  0.2406  1 Cl 2.41, 3 Br 2.56-2.57
Li  0.6417  0.1710  0.0000  1 Cl 2.40, 3 Br 2.54-2.55
Li  0.1417  0.8290  0.5000  1 Cl 2.40, 3 Br 2.54-2.55
Li  0.6174  0.6726  0.2594  1 Cl 2.41, 3 Br 2.56-2.57
Li  0.1187  0.8514  0.0000  1 Cl 2.40, 3 Br 2.56
Br  0.5049  0.3318  0.2512  4 Li 2.54-2.57
Br  0.5049  0.3318  0.7488  4 Li 2.54-2.57
Br  0.5057  0.8390  0.0000  4 Li 2.55-2.56
Br  0.0057  0.1610  0.5000  4 Li 2.55-2.56
Br  0.0049  0.6682  0.2488  4 Li 2.54-2.57
Br  0.0049  0.6682  0.7512  4 Li 2.54-2.57
Cl  0.0046  0.1694  0.0000  4 Li 2.40-2.41
Cl  0.5046  0.8306  0.5000  4 Li 2.40-2.41

* energy relative to the lowest polymorph listed for this composition: 0.000 eV per atom

***

4.
Compound: LiBr2Cl
Source: Alexandria via LeMat-Bulk
Functional: PBE
Structure: optimized geometry

a = 8.8967 Å, b = 8.8967 Å, c = 3.9179 Å
α = 81.48°, β = 81.48°, γ = 25.41°
Last column: nearest neighbours and their distance in Å.
Sites, in units of the cell vectors:
Cl  0.7500  0.7500  0.7500  4 Li 2.77
Br  0.5000  0.5000  0.5001  4 Br 2.77
Br  0.0000  0.0000  0.9999  4 Br 2.77
Li  0.2500  0.2500  0.2500  4 Cl 2.77

* energy relative to the lowest polymorph listed for this composition: 0.145 eV per atom

***

Number 1: formation energy from raw total energies -1.755 eV per atom, electronic total energy -43.45 eV per cell. Number 2: formation energy from raw total energies 0.189 eV per atom, electronic total energy -9.84 eV per cell. Number 3: formation energy from raw total energies -1.616 eV per atom, electronic total energy -54.90 eV per cell. Number 4: formation energy from raw total energies -0.639 eV per atom, electronic total energy -9.66 eV per cell.